Computed, not measured: AgBiRh after structural relaxation at the PBE level of DFT.

Lattice parameters (Å, degrees): 3.5259 3.5259 5.3892 109.09 109.09 90.00
Element x y z (fractional)
Rh: 0.3244 0.3244 0.6488
Bi: 0.6837 0.6837 0.3674
Ag: 0.9919 0.9919 0.9838

Results
* DOS(E_F): 1.8 states/eV/cell
* size of the total moment: 0.00 μB per atom
* theoretical density: 11.73 Mg/m³
* ΔE_f: 0.07 eV per atom
* energy relative to the lowest polymorph listed for this composition: 7 meV/atom
* total DFT energy (no corrections): -4.623 eV/atom